No. 1
Density functional theory data (GGA-PBE) for crystalline BaNdMgPb at its relaxed geometry.

## Properties
VASP energy (eV/atom): -3.246
Formation energy (eV/atom): -0.25
Density of states at the Fermi level (states/eV/atom): 0.996

a = 5.778 Å, b = 5.778 Å, c = 5.778 Å
α = 60.00°, β = 60.00°, γ = 60.00°
Fractional positions:
Pb: 0.500 0.500 0.500
Mg: 0.000 0.000 0.000
Ba: 0.250 0.250 0.250
Nd: 0.750 0.750 0.750

No. 2
Density functional theory data (GGA-PBE) for crystalline CsCoS2 at its relaxed geometry.

## Properties
VASP energy (eV/atom): -3.416
Raw formation energy (eV/atom): 0.638
Density of states at the Fermi level (states/eV/atom): 0.611

a = 5.081 Å, b = 5.081 Å, c = 5.081 Å
α = 60.00°, β = 60.00°, γ = 60.00°
Fractional positions:
S: 0.750 0.750 0.750
S: 0.250 0.250 0.250
Cs: 0.500 0.500 0.500
Co: 0.000 0.000 0.000

No. 3
Density functional theory data (GGA-PBE) for crystalline ZrCdSiO5 at its relaxed geometry.

## Properties
VASP energy (eV/atom): -7.508
Raw formation energy (eV/atom): -2.548
Density of states at the Fermi level (states/eV/atom): 0.000

a = 5.705 Å, b = 5.705 Å, c = 7.721 Å
α = 106.39°, β = 106.39°, γ = 100.23°
Fractional positions:
O: 0.913 0.087 0.750
O: 0.844 0.296 0.114
O: 0.365 0.272 0.115
O: 0.728 0.635 0.385
O: 0.087 0.913 0.250
O: 0.156 0.704 0.886
O: 0.635 0.728 0.885
O: 0.272 0.365 0.615
O: 0.296 0.844 0.614
O: 0.704 0.156 0.386
Cd: 0.329 0.671 0.250
Cd: 0.671 0.329 0.750
Zr: 0.000 0.000 0.000
Zr: 0.000 0.000 0.500
Si: 0.333 0.667 0.750
Si: 0.667 0.333 0.250

No. 4
Density functional theory data (GGA-PBE) for crystalline AlRuPt2 at its relaxed geometry.

## Properties
VASP energy (eV/atom): -6.678
Formation energy (eV/atom): -0.40
Density of states at the Fermi level (states/eV/atom): 1.241

a = 4.697 Å, b = 4.697 Å, c = 4.697 Å
α = 130.13°, β = 130.13°, γ = 73.20°
Fractional positions:
Pt: 0.250 0.750 0.500
Pt: 0.000 0.000 0.000
Ru: 0.500 0.500 0.000
Al: 0.750 0.250 0.500

No. 5
Density functional theory data (GGA-PBE) for crystalline La4Er3Th at its relaxed geometry.

## Properties
VASP energy (eV/atom): -4.915
Formation energy (eV/atom): 0.19
Density of states at the Fermi level (states/eV/atom): 1.739

a = 3.403 Å, b = 6.776 Å, c = 12.320 Å
α = 74.47°, β = 97.94°, γ = 90.00°
Fractional positions:
Er: 0.878 0.365 0.756
Er: 0.122 0.635 0.244
Er: 0.000 0.500 0.000
La: 0.119 0.126 0.239
La: 0.744 0.265 0.488
La: 0.256 0.735 0.512
La: 0.881 0.874 0.761
Th: 0.500 0.000 0.000

No. 6
Density functional theory data (GGA-PBE) for crystalline Li3SmTl3 at its relaxed geometry.

## Properties
VASP energy (eV/atom): -2.347
Formation energy (eV/atom): 0.16
Density of states at the Fermi level (states/eV/atom): 0.519

a = 7.148 Å, b = 7.148 Å, c = 7.148 Å
α = 90.00°, β = 90.00°, γ = 90.00°
Fractional positions:
Tl: 0.500 0.750 0.000
Tl: 0.500 0.250 0.000
Tl: 0.750 0.000 0.500
Tl: 0.250 0.000 0.500
Tl: 0.000 0.500 0.750
Tl: 0.000 0.500 0.250
Sm: 0.500 0.500 0.500
Sm: 0.000 0.000 0.000
Li: 0.000 0.750 0.500
Li: 0.000 0.250 0.500
Li: 0.500 0.000 0.750
Li: 0.250 0.500 0.000
Li: 0.500 0.000 0.250
Li: 0.750 0.500 0.000

No. 7
Density functional theory data (GGA-PBE) for crystalline Nd2PuCdO8 at its relaxed geometry.

## Properties
VASP energy (eV/atom): -7.738
Raw formation energy (eV/atom): -2.367
Density of states at the Fermi level (states/eV/atom): 0.247

a = 4.197 Å, b = 5.426 Å, c = 7.734 Å
α = 90.00°, β = 90.00°, γ = 97.46°
Fractional positions:
Pu: 0.000 0.000 0.000
Nd: 0.500 0.500 0.255
Nd: 0.500 0.500 0.745
O: 0.938 0.234 0.198
O: 0.414 0.256 0.500
O: 0.586 0.744 0.500
O: 0.422 0.218 0.000
O: 0.062 0.766 0.802
O: 0.062 0.766 0.198
O: 0.578 0.782 0.000
O: 0.938 0.234 0.802
Cd: 0.000 0.000 0.500

No. 8
Density functional theory data (GGA-PBE) for crystalline AcHoTl at its relaxed geometry.

## Properties
VASP energy (eV/atom): -3.738
Formation energy (eV/atom): -0.05
Density of states at the Fermi level (states/eV/atom): 1.374

a = 5.669 Å, b = 5.669 Å, c = 8.234 Å
α = 69.86°, β = 69.86°, γ = 60.00°
Fractional positions:
Tl: 0.428 0.428 0.715
Tl: 0.572 0.572 0.285
Ac: 0.878 0.878 0.365
Ac: 0.122 0.122 0.635
Ho: 0.706 0.706 0.881
Ho: 0.294 0.294 0.119

No. 9
Density functional theory data (GGA-PBE) for crystalline KGa3Tc at its relaxed geometry.

## Properties
VASP energy (eV/atom): -4.037
Formation energy (eV/atom): 0.07
Density of states at the Fermi level (states/eV/atom): 0.247

a = 20.223 Å, b = 8.750 Å, c = 8.750 Å
α = 150.89°, β = 156.24°, γ = 23.76°
Fractional positions:
Ga: 0.214 0.428 0.572
Ga: 0.586 0.186 0.814
Ga: 0.786 0.572 0.428
Ga: 0.655 0.280 0.720
Ga: 0.345 0.720 0.280
Ga: 0.414 0.814 0.186
K: 0.227 0.193 0.807
K: 0.773 0.807 0.193
Tc: 0.064 0.151 0.849
Tc: 0.936 0.849 0.151

No. 10
Density functional theory data (GGA-PBE) for crystalline PmPaCuSi at its relaxed geometry.

## Properties
VASP energy (eV/atom): -6.054
Raw formation energy (eV/atom): -0.113
Density of states at the Fermi level (states/eV/atom): 1.405

a = 4.973 Å, b = 4.973 Å, c = 4.973 Å
α = 60.00°, β = 60.00°, γ = 60.00°
Fractional positions:
Si: 0.750 0.750 0.750
Pm: 0.500 0.500 0.500
Cu: 0.250 0.250 0.250
Pa: 0.000 0.000 0.000